w:
Computed, not measured: crystalline CsNbSn3 at its relaxed geometry at the PBE level of DFT.

The structure belongs to space group Pm-3m (No. 221); the cell edges are 5.499, 5.499 and 5.499 Å and the angles 90.00°, 90.00° and 90.00°. The inequivalent atoms are Cs at (0.000, 0.000, 0.000), Nb at (0.500, 0.500, 0.500) and Sn at (0.000, 0.500, 0.500).

For the calculated density, the calculation gives 5.81 g/cm³. The value obtained for the magnetic moment is 0.0 μB per formula unit.

=====

x:
Computed, not measured: crystalline CsNbSn3 at its relaxed geometry at the PBE level of DFT.

The structure belongs to space group Pm-3m (No. 221); the cell edges are 5.856, 5.856 and 5.856 Å and the angles 90.00°, 90.00° and 90.00°. The inequivalent atoms are Cs at (0.000, 0.000, 0.000), Nb at (0.500, 0.500, 0.500) and Sn at (0.000, 0.000, 0.500).

For the calculated density, the calculation gives 4.81 g/cm³. The value obtained for the magnetic moment is 0.1 μB per formula unit.

=====

Verdict on stability: w comes out on top.

=====

w:
Computed, not measured: crystalline CsTa3Nb at its relaxed geometry at the PBE level of DFT.

The structure belongs to space group Pm-3m (No. 221); the cell edges are 4.972, 4.972 and 4.972 Å and the angles 90.00°, 90.00° and 90.00°. The inequivalent atoms are Cs at (0.000, 0.000, 0.000), Ta at (0.000, 0.000, 0.500) and Nb at (0.500, 0.500, 0.500).

For the calculated density, the calculation gives 10.38 g/cm³. The value obtained for the magnetic moment is 0.0 μB per formula unit.

=====

x:
Computed, not measured: crystalline CsTa3Nb at its relaxed geometry at the PBE level of DFT.

The structure belongs to space group Pm-3m (No. 221); the cell edges are 5.116, 5.116 and 5.116 Å and the angles 90.00°, 90.00° and 90.00°. The inequivalent atoms are Cs at (0.000, 0.000, 0.000), Ta at (0.000, 0.500, 0.500) and Nb at (0.500, 0.500, 0.500).

For the calculated density, the calculation gives 9.53 g/cm³. The value obtained for the magnetic moment is 0.0 μB per formula unit.

=====

Verdict on stability: x comes out on top.

=====

w:
Computed, not measured: crystalline CsNbTc3 at its relaxed geometry at the PBE level of DFT.

The structure belongs to space group Pm-3m (No. 221); the cell edges are 4.997, 4.997 and 4.997 Å and the angles 90.00°, 90.00° and 90.00°. The inequivalent atoms are Cs at (0.000, 0.000, 0.000), Nb at (0.500, 0.500, 0.500) and Tc at (0.000, 0.500, 0.500).

For the calculated density, the calculation gives 6.92 g/cm³. The value obtained for the magnetic moment is 5.2 μB per formula unit.

=====

x:
Computed, not measured: crystalline CsNbTc3 at its relaxed geometry at the PBE level of DFT.

The structure belongs to space group Pm-3m (No. 221); the cell edges are 4.795, 4.795 and 4.795 Å and the angles 90.00°, 90.00° and 90.00°. The inequivalent atoms are Cs at (0.000, 0.000, 0.000), Nb at (0.500, 0.500, 0.500) and Tc at (0.000, 0.000, 0.500).

For the calculated density, the calculation gives 7.83 g/cm³. The value obtained for the magnetic moment is 0.1 μB per formula unit.

=====

Verdict on stability: w comes out on top.